<A>
DFT (PBE-GGA) results for a relaxed structure of BeMoW.

Cell and atoms, written as CIF:
```
data_BeMoW
_cell_length_a 3.282
_cell_length_b 4.335
_cell_length_c 11.561
_cell_angle_alpha 90.00
_cell_angle_beta 90.00
_cell_angle_gamma 90.00
_space_group_name_H-M_alt 'F m m 2'
_space_group_IT_number 42
_space_group_name_Hall 'F 2 -2'
loop_
_atom_site_label
_atom_site_fract_x
_atom_site_fract_y
_atom_site_fract_z
Be1 0.000 0.000 0.000
Mo1 0.000 0.000 0.347
W1 0.000 0.000 0.654
```

Results
Density: 11.66 g cm⁻³

***

<B>
DFT (PBE-GGA) results for a relaxed structure of BeMoW.

Cell and atoms, written as CIF:
```
data_BeMoW
_cell_length_a 4.717
_cell_length_b 8.210
_cell_length_c 16.389
_cell_angle_alpha 90.00
_cell_angle_beta 90.00
_cell_angle_gamma 90.00
_space_group_name_H-M_alt 'F d d d'
_space_group_IT_number 70
loop_
_space_group_symop_operation_xyz
'x,y,z'
'-x,-y,-z'
'-x+1/4,-y+1/4,z'
'x+1/4,y+1/4,-z'
'x,-y+1/4,-z+1/4'
'-x,y+1/4,z+1/4'
'-x+1/4,y,-z+1/4'
'x+1/4,-y,z+1/4'
'x,y+1/2,z+1/2'
'-x,-y+1/2,-z+1/2'
'-x+1/4,-y+3/4,z+1/2'
'x+1/4,y+3/4,-z+1/2'
'x,-y+3/4,-z+3/4'
'-x,y+3/4,z+3/4'
'-x+1/4,y+1/2,-z+3/4'
'x+1/4,-y+1/2,z+3/4'
'x+1/2,y,z+1/2'
'-x+1/2,-y,-z+1/2'
'-x+3/4,-y+1/4,z+1/2'
'x+3/4,y+1/4,-z+1/2'
'x+1/2,-y+1/4,-z+3/4'
'-x+1/2,y+1/4,z+3/4'
'-x+3/4,y,-z+3/4'
'x+3/4,-y,z+3/4'
'x+1/2,y+1/2,z'
'-x+1/2,-y+1/2,-z'
'-x+3/4,-y+3/4,z'
'x+3/4,y+3/4,-z'
'x+1/2,-y+3/4,-z+1/4'
'-x+1/2,y+3/4,z+1/4'
'-x+3/4,y+1/2,-z+1/4'
'x+3/4,-y+1/2,z+1/4'
loop_
_atom_site_label
_atom_site_fract_x
_atom_site_fract_y
_atom_site_fract_z
Be1 0.125 0.125 0.000
Mo1 0.125 0.125 0.542
W1 0.125 0.291 0.125
```

Results
Density: 12.09 g cm⁻³

***

<C>
DFT (PBE-GGA) results for a relaxed structure of BeMoW.

Cell and atoms, written as CIF:
```
data_BeMoW
_cell_length_a 3.219
_cell_length_b 3.219
_cell_length_c 8.114
_cell_angle_alpha 90.00
_cell_angle_beta 90.00
_cell_angle_gamma 90.00
_space_group_name_H-M_alt 'I 4 m m'
_space_group_IT_number 107
_space_group_name_Hall 'I 4 -2'
loop_
_atom_site_label
_atom_site_fract_x
_atom_site_fract_y
_atom_site_fract_z
Be1 0.000 0.000 0.000
Mo1 0.000 0.000 0.665
W1 0.000 0.000 0.336
```

Results
Density: 11.41 g cm⁻³

***

Most stable of them? <B>.